Entry 1:
CoSn2P: relaxed, PBE.

Summary:
DOS at the Fermi energy (states/eV per atom): 0.771
Formation enthalpy at 0 K (kcal/mol of atoms): 7.83
Calculated volume (A^3/atom): 25.35
Total magnetic moment (μB per formula unit): 0.36

Cell and atoms, written as CIF:
```
data_CoSn2P
_chemical_formula_sum 'Co2 Sn4 P2'
_space_group_name_H-M_alt 'P 1'
_space_group_IT_number 1
_cell_length_a 6.019
_cell_length_b 6.019
_cell_length_c 7.031
_cell_angle_alpha 64.66
_cell_angle_beta 64.66
_cell_angle_gamma 90.00
loop_
_space_group_symop_operation_xyz
'x,y,z'
loop_
_atom_site_label
_atom_site_type_symbol
_atom_site_fract_x
_atom_site_fract_y
_atom_site_fract_z
P1 P 0.500 0.500 0.000
P2 P 0.250 0.750 0.500
Co1 Co 0.000 0.000 0.000
Co2 Co 0.750 0.250 0.500
Sn1 Sn 0.644 0.125 0.250
Sn2 Sn 0.106 0.625 0.250
Sn3 Sn 0.375 0.356 0.750
Sn4 Sn 0.875 0.894 0.750
```

---

Entry 2:
UCo5SnP2: relaxed, PBE.

Summary:
DOS at the Fermi energy (states/eV per atom): 1.191
Formation enthalpy at 0 K (kcal/mol of atoms): -6.20
Calculated volume (A^3/atom): 15.30
Total magnetic moment (μB per formula unit): 1.85

Cell and atoms, written as CIF:
```
data_UCo5SnP2
_chemical_formula_sum 'U1 Co5 Sn1 P2'
_space_group_name_H-M_alt 'P 1'
_space_group_IT_number 1
_cell_length_a 3.706
_cell_length_b 3.706
_cell_length_c 10.027
_cell_angle_alpha 90.00
_cell_angle_beta 90.00
_cell_angle_gamma 90.00
loop_
_space_group_symop_operation_xyz
'x,y,z'
loop_
_atom_site_label
_atom_site_type_symbol
_atom_site_fract_x
_atom_site_fract_y
_atom_site_fract_z
U1 U 0.000 0.000 0.500
Co1 Co 0.000 0.500 0.181
Co2 Co 0.500 0.000 0.181
Co3 Co 0.000 0.500 0.819
Co4 Co 0.500 0.000 0.819
Co5 Co 0.500 0.500 0.500
Sn1 Sn 0.000 0.000 0.000
P1 P 0.500 0.500 0.287
P2 P 0.500 0.500 0.713
```

---

Entry 3:
CoSnPW2: relaxed, PBE.

Summary:
DOS at the Fermi energy (states/eV per atom): 1.265
Formation enthalpy at 0 K (kcal/mol of atoms): 23.48
Calculated volume (A^3/atom): 17.53
Total magnetic moment (μB per formula unit): 0.92

Cell and atoms, written as CIF:
```
data_CoSnPW2
_chemical_formula_sum 'Co1 Sn1 P1 W2'
_space_group_name_H-M_alt 'P 1'
_space_group_IT_number 1
_cell_length_a 4.724
_cell_length_b 3.927
_cell_length_c 4.724
_cell_angle_alpha 90.00
_cell_angle_beta 90.00
_cell_angle_gamma 90.00
loop_
_space_group_symop_operation_xyz
'x,y,z'
loop_
_atom_site_label
_atom_site_type_symbol
_atom_site_fract_x
_atom_site_fract_y
_atom_site_fract_z
P1 P 0.000 0.500 0.000
Co1 Co 0.000 0.000 0.000
Sn1 Sn 0.500 0.500 0.500
W1 W 0.000 0.000 0.500
W2 W 0.500 0.000 0.000
```

---

Entry 4:
ZrCoSn2P: relaxed, PBE.

Summary:
DOS at the Fermi energy (states/eV per atom): 1.379
Formation enthalpy at 0 K (kcal/mol of atoms): 21.54
Calculated volume (A^3/atom): 30.38
Total magnetic moment (μB per formula unit): 2.50

Cell and atoms, written as CIF:
```
data_ZrCoSn2P
_chemical_formula_sum 'Zr1 Co1 Sn2 P1'
_space_group_name_H-M_alt 'P 1'
_space_group_IT_number 1
_cell_length_a 5.560
_cell_length_b 4.914
_cell_length_c 5.560
_cell_angle_alpha 90.00
_cell_angle_beta 90.00
_cell_angle_gamma 90.00
loop_
_space_group_symop_operation_xyz
'x,y,z'
loop_
_atom_site_label
_atom_site_type_symbol
_atom_site_fract_x
_atom_site_fract_y
_atom_site_fract_z
P1 P 0.000 0.500 0.000
Co1 Co 0.500 0.500 0.500
Sn1 Sn 0.000 0.000 0.500
Sn2 Sn 0.500 0.000 0.000
Zr1 Zr 0.000 0.000 0.000
```

---

Entry 5:
Sr2CoP2: relaxed, PBE.

Summary:
DOS at the Fermi energy (states/eV per atom): 0.361
Formation enthalpy at 0 K (kcal/mol of atoms): -10.66
Calculated volume (A^3/atom): 20.93
Total magnetic moment (μB per formula unit): 0.95

Cell and atoms, written as CIF:
```
data_Sr2CoP2
_chemical_formula_sum 'Sr4 Co2 P4'
_space_group_name_H-M_alt 'P 1'
_space_group_IT_number 1
_cell_length_a 6.715
_cell_length_b 6.715
_cell_length_c 4.642
_cell_angle_alpha 90.00
_cell_angle_beta 90.00
_cell_angle_gamma 90.00
loop_
_space_group_symop_operation_xyz
'x,y,z'
loop_
_atom_site_label
_atom_site_type_symbol
_atom_site_fract_x
_atom_site_fract_y
_atom_site_fract_z
Sr1 Sr 0.180 0.680 0.500
Sr2 Sr 0.680 0.820 0.500
Sr3 Sr 0.820 0.320 0.500
Sr4 Sr 0.320 0.180 0.500
Co1 Co 0.000 0.000 0.000
Co2 Co 0.500 0.500 0.000
P1 P 0.376 0.876 0.000
P2 P 0.876 0.624 0.000
P3 P 0.624 0.124 0.000
P4 P 0.124 0.376 0.000
```

---

Entry 6:
SrCoP: relaxed, PBE.

Summary:
DOS at the Fermi energy (states/eV per atom): 0.731
Formation enthalpy at 0 K (kcal/mol of atoms): -0.80
Calculated volume (A^3/atom): 22.68
Total magnetic moment (μB per formula unit): 2.01

Cell and atoms, written as CIF:
```
data_SrCoP
_chemical_formula_sum 'Sr1 Co1 P1'
_space_group_name_H-M_alt 'P 1'
_space_group_IT_number 1
_cell_length_a 4.583
_cell_length_b 4.583
_cell_length_c 4.583
_cell_angle_alpha 60.00
_cell_angle_beta 60.00
_cell_angle_gamma 60.00
loop_
_space_group_symop_operation_xyz
'x,y,z'
loop_
_atom_site_label
_atom_site_type_symbol
_atom_site_fract_x
_atom_site_fract_y
_atom_site_fract_z
Co1 Co 0.500 0.500 0.500
P1 P 0.250 0.250 0.250
Sr1 Sr 0.000 0.000 0.000
```

---

Entry 7:
SrCo2P2: relaxed, PBE.

Summary:
DOS at the Fermi energy (states/eV per atom): 0.668
Formation enthalpy at 0 K (kcal/mol of atoms): -19.29
Calculated volume (A^3/atom): 16.64
Total magnetic moment (μB per formula unit): 0.90

Cell and atoms, written as CIF:
```
data_SrCo2P2
_chemical_formula_sum 'Sr1 Co2 P2'
_space_group_name_H-M_alt 'P 1'
_space_group_IT_number 1
_cell_length_a 3.791
_cell_length_b 3.791
_cell_length_c 6.381
_cell_angle_alpha 72.72
_cell_angle_beta 72.72
_cell_angle_gamma 90.00
loop_
_space_group_symop_operation_xyz
'x,y,z'
loop_
_atom_site_label
_atom_site_type_symbol
_atom_site_fract_x
_atom_site_fract_y
_atom_site_fract_z
Sr1 Sr 0.000 0.000 0.000
Co1 Co 0.750 0.250 0.500
Co2 Co 0.250 0.750 0.500
P1 P 0.349 0.349 0.302
P2 P 0.651 0.651 0.698
```

---

Entry 8:
SrCoP3: relaxed, PBE.

Summary:
Energy relative to the lowest polymorph listed for this composition (kJ/mol of atoms): 205.0
DOS at the Fermi energy (states/eV per atom): 2.860
Formation enthalpy at 0 K (kcal/mol of atoms): 47.28
Calculated volume (A^3/atom): 30.74
Total magnetic moment (μB per formula unit): 0.54

Cell and atoms, written as CIF:
```
data_SrCoP3
_chemical_formula_sum 'Sr1 Co1 P3'
_space_group_name_H-M_alt 'P 1'
_space_group_IT_number 1
_cell_length_a 5.357
_cell_length_b 5.357
_cell_length_c 5.357
_cell_angle_alpha 90.00
_cell_angle_beta 90.00
_cell_angle_gamma 90.00
loop_
_space_group_symop_operation_xyz
'x,y,z'
loop_
_atom_site_label
_atom_site_type_symbol
_atom_site_fract_x
_atom_site_fract_y
_atom_site_fract_z
Sr1 Sr 0.000 0.000 0.000
Co1 Co 0.500 0.500 0.500
P1 P 0.000 0.500 0.000
P2 P 0.000 0.000 0.500
P3 P 0.500 0.000 0.000
```

---

Q: Which formula does entry 2 have?
A: UCo5SnP2

---

Please write out number 3 again, unchanged.
CoSnPW2: relaxed, PBE.

Summary:
DOS at the Fermi energy (states/eV per atom): 1.265
Formation enthalpy at 0 K (kcal/mol of atoms): 23.48
Calculated volume (A^3/atom): 17.53
Total magnetic moment (μB per formula unit): 0.92

Cell and atoms, written as CIF:
```
data_CoSnPW2
_chemical_formula_sum 'Co1 Sn1 P1 W2'
_space_group_name_H-M_alt 'P 1'
_space_group_IT_number 1
_cell_length_a 4.724
_cell_length_b 3.927
_cell_length_c 4.724
_cell_angle_alpha 90.00
_cell_angle_beta 90.00
_cell_angle_gamma 90.00
loop_
_space_group_symop_operation_xyz
'x,y,z'
loop_
_atom_site_label
_atom_site_type_symbol
_atom_site_fract_x
_atom_site_fract_y
_atom_site_fract_z
P1 P 0.000 0.500 0.000
Co1 Co 0.000 0.000 0.000
Sn1 Sn 0.500 0.500 0.500
W1 W 0.000 0.000 0.500
W2 W 0.500 0.000 0.000
```

---

Please write out number 8 again, unchanged.
SrCoP3: relaxed, PBE.

Summary:
Energy relative to the lowest polymorph listed for this composition (kJ/mol of atoms): 205.0
DOS at the Fermi energy (states/eV per atom): 2.860
Formation enthalpy at 0 K (kcal/mol of atoms): 47.28
Calculated volume (A^3/atom): 30.74
Total magnetic moment (μB per formula unit): 0.54

Cell and atoms, written as CIF:
```
data_SrCoP3
_chemical_formula_sum 'Sr1 Co1 P3'
_space_group_name_H-M_alt 'P 1'
_space_group_IT_number 1
_cell_length_a 5.357
_cell_length_b 5.357
_cell_length_c 5.357
_cell_angle_alpha 90.00
_cell_angle_beta 90.00
_cell_angle_gamma 90.00
loop_
_space_group_symop_operation_xyz
'x,y,z'
loop_
_atom_site_label
_atom_site_type_symbol
_atom_site_fract_x
_atom_site_fract_y
_atom_site_fract_z
Sr1 Sr 0.000 0.000 0.000
Co1 Co 0.500 0.500 0.500
P1 P 0.000 0.500 0.000
P2 P 0.000 0.000 0.500
P3 P 0.500 0.000 0.000
```